1.
Computed, not measured: a geometry-optimized B2PS6 structure at the PBE level of DFT.

Values from the calculation:
Energy ... -4.983 eV per atom
Formation energy without anion corrections ... -0.146 eV/atom
Volume ... 337 Å³/cell

Lattice parameters (Å, degrees): 8.2958 8.2958 5.5276 109.23 109.23 89.86
Positions (direct):
B: 0.1740 0.3214 0.3909
B: 0.3214 0.1740 0.8909
B: 0.6786 0.8260 0.1091
B: 0.8260 0.6786 0.6091
P: 0.2537 0.7463 0.7500
P: 0.7463 0.2537 0.2500
S: 0.0544 0.7419 0.8966
S: 0.1707 0.3150 0.7316
S: 0.2527 0.5475 0.4034
S: 0.2581 0.9456 0.6034
S: 0.3150 0.1707 0.2316
S: 0.4525 0.7473 0.0966
S: 0.5475 0.2527 0.9034
S: 0.6850 0.8293 0.7684
S: 0.7419 0.0544 0.3966
S: 0.7473 0.4525 0.5966
S: 0.8293 0.6850 0.2684
S: 0.9456 0.2581 0.1034

---

2.
Computed, not measured: a geometry-optimized AgHPd3 structure at the PBE level of DFT.

Values from the calculation:
ΔE to the lowest computed polymorph ... 0.196 eV/atom
Energy ... -4.233 eV per atom
Volume ... 295 Å³/cell

Lattice parameters (Å, degrees): 4.9854 7.5469 7.8391 90.00 90.00 90.00
Positions (direct):
Ag: 0.0000 0.0000 0.0000
Ag: 0.0000 0.5000 0.0000
Ag: 0.5000 0.0000 0.5000
Ag: 0.5000 0.5000 0.5000
H: 0.0485 0.2500 0.4986
H: 0.4515 0.7500 0.9986
H: 0.5485 0.2500 0.0014
H: 0.9515 0.7500 0.5014
Pd: 0.0186 0.0735 0.3413
Pd: 0.0186 0.4265 0.3413
Pd: 0.2189 0.2500 0.6926
Pd: 0.2811 0.7500 0.1926
Pd: 0.4814 0.5735 0.8413
Pd: 0.4814 0.9265 0.8413
Pd: 0.5186 0.0735 0.1587
Pd: 0.5186 0.4265 0.1587
Pd: 0.7189 0.2500 0.8074
Pd: 0.7811 0.7500 0.3074
Pd: 0.9814 0.5735 0.6587
Pd: 0.9814 0.9265 0.6587

---

3.
Computed, not measured: a geometry-optimized Sn3Te12As5 structure at the PBE level of DFT.

Values from the calculation:
Energy ... -3.581 eV per atom
Formation energy without anion corrections ... 0.067 eV/atom
Volume ... 2716 Å³/cell

Lattice parameters (Å, degrees): 15.2240 15.2240 15.2240 109.47 109.47 109.47
Positions (direct):
Sn: 0.1250 0.2500 0.3750
Sn: 0.1250 0.3750 0.7500
Sn: 0.2500 0.3750 0.1250
Sn: 0.2500 0.8750 0.6250
Sn: 0.3750 0.1250 0.2500
Sn: 0.3750 0.7500 0.1250
Sn: 0.6250 0.2500 0.8750
Sn: 0.6250 0.8750 0.7500
Sn: 0.7500 0.1250 0.3750
Sn: 0.7500 0.6250 0.8750
Sn: 0.8750 0.6250 0.2500
Sn: 0.8750 0.7500 0.6250
Te: 0.0384 0.2127 0.1246
Te: 0.0384 0.3257 0.9138
Te: 0.0862 0.6246 0.4119
Te: 0.0862 0.9616 0.6743
Te: 0.0881 0.7127 0.6743
Te: 0.0881 0.8754 0.4138
Te: 0.1246 0.0384 0.2127
Te: 0.1246 0.5862 0.9119
Te: 0.1743 0.2127 0.5881
Te: 0.1743 0.4616 0.5862
Te: 0.2127 0.1246 0.0384
Te: 0.2127 0.5881 0.1743
Te: 0.2873 0.3257 0.9119
Te: 0.2873 0.4616 0.3754
Te: 0.3257 0.9119 0.2873
Te: 0.3257 0.9138 0.0384
Te: 0.3754 0.2873 0.4616
Te: 0.3754 0.5881 0.9138
Te: 0.4119 0.0862 0.6246
Te: 0.4119 0.8257 0.7873
Te: 0.4138 0.0881 0.8754
Te: 0.4138 0.8257 0.5384
Te: 0.4616 0.3754 0.2873
Te: 0.4616 0.5862 0.1743
Te: 0.5384 0.4138 0.8257
Te: 0.5384 0.6246 0.7127
Te: 0.5862 0.1743 0.4616
Te: 0.5862 0.9119 0.1246
Te: 0.5881 0.1743 0.2127
Te: 0.5881 0.9138 0.3754
Te: 0.6246 0.4119 0.0862
Te: 0.6246 0.7127 0.5384
Te: 0.6743 0.0862 0.9616
Te: 0.6743 0.0881 0.7127
Te: 0.7127 0.5384 0.6246
Te: 0.7127 0.6743 0.0881
Te: 0.7873 0.4119 0.8257
Te: 0.7873 0.8754 0.9616
Te: 0.8257 0.5384 0.4138
Te: 0.8257 0.7873 0.4119
Te: 0.8754 0.4138 0.0881
Te: 0.8754 0.9616 0.7873
Te: 0.9119 0.1246 0.5862
Te: 0.9119 0.2873 0.3257
Te: 0.9138 0.0384 0.3257
Te: 0.9138 0.3754 0.5881
Te: 0.9616 0.6743 0.0862
Te: 0.9616 0.7873 0.8754
As: 0.0000 0.0000 0.0000
As: 0.0000 0.0000 0.5000
As: 0.0000 0.5000 0.0000
As: 0.0000 0.5000 0.5000
As: 0.1250 0.7500 0.8750
As: 0.1250 0.8750 0.2500
As: 0.2500 0.1250 0.8750
As: 0.2500 0.6250 0.3750
As: 0.3750 0.2500 0.6250
As: 0.3750 0.6250 0.7500
As: 0.5000 0.0000 0.0000
As: 0.5000 0.0000 0.5000
As: 0.5000 0.5000 0.0000
As: 0.5000 0.5000 0.5000
As: 0.6250 0.3750 0.2500
As: 0.6250 0.7500 0.3750
As: 0.7500 0.3750 0.6250
As: 0.7500 0.8750 0.1250
As: 0.8750 0.1250 0.7500
As: 0.8750 0.2500 0.1250

---

4.
Computed, not measured: a geometry-optimized BaCu5As2 structure at the PBE level of DFT.

Values from the calculation:
Energy ... -4.171 eV per atom
Volume ... 280 Å³/cell
DFT formation energy ... -1.669 eV per formula unit

Lattice parameters (Å, degrees): 4.2145 6.8756 9.6799 90.00 90.00 90.00
Positions (direct):
Ba: 0.0000 0.0000 0.0000
Ba: 0.5000 0.5000 0.5000
Cu: 0.0000 0.1755 0.3595
Cu: 0.0000 0.1755 0.6405
Cu: 0.0000 0.5000 0.0000
Cu: 0.0000 0.8245 0.3595
Cu: 0.0000 0.8245 0.6405
Cu: 0.5000 0.0000 0.5000
Cu: 0.5000 0.3245 0.1405
Cu: 0.5000 0.3245 0.8595
Cu: 0.5000 0.6755 0.1405
Cu: 0.5000 0.6755 0.8595
As: 0.0000 0.5000 0.2453
As: 0.0000 0.5000 0.7547
As: 0.5000 0.0000 0.2547
As: 0.5000 0.0000 0.7453

---

5.
Computed, not measured: a geometry-optimized ScFe structure at the PBE level of DFT.

Values from the calculation:
Energy ... -7.461 eV per atom
Volume ... 132 Å³/cell
DFT formation energy ... -0.128 eV per formula unit

Lattice parameters (Å, degrees): 3.1756 4.3974 9.4579 90.00 90.00 90.00
Positions (direct):
Sc: 0.0000 0.2500 0.1083
Sc: 0.0000 0.7500 0.8917
Sc: 0.5000 0.2500 0.3917
Sc: 0.5000 0.7500 0.6083
Fe: 0.0000 0.2500 0.6595
Fe: 0.0000 0.7500 0.3405
Fe: 0.5000 0.2500 0.8405
Fe: 0.5000 0.7500 0.1595

---

6.
Computed, not measured: a geometry-optimized RhAuSe2N structure at the PBE level of DFT.

Values from the calculation:
ΔE to the lowest computed polymorph ... 0.000 eV/atom
Energy ... -4.598 eV per atom
Formation energy without anion corrections ... 0.587 eV/atom
Volume ... 95 Å³/cell

Lattice parameters (Å, degrees): 5.1439 5.1439 3.6069 90.00 90.00 90.00
Positions (direct):
Rh: 0.0000 0.0000 0.0000
Au: 0.5000 0.5000 0.5000
Se: 0.0000 0.5000 0.0000
Se: 0.5000 0.0000 0.0000
N: 0.0000 0.0000 0.5000

---

Look up the volume of the third one. 2716 Å³/cell